VASP calculation (PBE-GGA) on a relaxed structure of RbSeBr2N.

a b c (Å): 6.1640 6.1640 3.8054
angles (deg): 90.00 90.00 90.00
Fractional positions:
N 0.0000 0.0000 0.0000
Rb 0.5000 0.5000 0.5000
Se 0.0000 0.0000 0.5000
Br 0.0000 0.5000 0.0000
Br 0.5000 0.0000 0.0000

Calculated values
ΔE_f (raw), meV per atom: 162
E_tot, eV per atom: -3.062
SG: P4/mmm
Magnetic moment, μB/f.u.: 0.00
E above lowest polymorph, meV/atom: 0.0